Entry 1:
The following is a DFT calculation (GGA-PBEsol) of a relaxed LiTeO2F crystal.

Cell and atoms, written as POSCAR:
```
LiTeO2F
1.0
-0.7973 1.0898 3.0671
0.5970 -3.4327 1.3749
3.5889 0.8735 0.6225
O Li F Te
2 1 1 1
direct
0.0000 0.5000 0.0000
0.0000 0.0000 0.5000
0.0000 0.0000 0.0000
0.5000 0.0000 0.0000
0.5000 0.5000 0.5000
```

Summary:
Formation energy without anion corrections (eV per formula unit): -5.13
Raw total energy (eV per cell): -23.04
Symmetry: P4/mmm

Entry 2:
The following is a DFT calculation (GGA-PBEsol) of a relaxed TiSnTe2I crystal.

Cell and atoms, written as POSCAR:
```
TiSnTe2I
1.0
5.6134 0.0000 0.0000
0.0000 5.6134 0.0000
0.0000 0.0000 5.6920
Te Ti I Sn
2 1 1 1
direct
0.0000 0.5000 0.0000
0.5000 0.0000 0.0000
0.5000 0.5000 0.5000
0.0000 0.0000 0.5000
0.0000 0.0000 0.0000
```

Summary:
Formation energy without anion corrections (eV per formula unit): 3.28
Raw total energy (eV per cell): -18.12
Symmetry: P4/mmm

Entry 3:
The following is a DFT calculation (GGA-PBEsol) of a relaxed Na3HgW crystal.

Cell and atoms, written as POSCAR:
```
Na3HgW
1.0
-2.9235 -4.0242 -3.2090
5.1460 -2.3598 -1.7288
-0.1040 -3.6436 4.6639
W Hg Na
1 1 3
direct
0.0000 0.0000 0.0000
0.5000 0.5000 0.5000
0.0000 0.5000 0.0000
0.0000 0.0000 0.5000
0.5000 0.0000 0.0000
```

Summary:
Raw total energy (eV per cell): -10.82
DFT formation energy (kJ per mole of atoms): 149.57
Symmetry: Pm-3m

Entry 4:
The following is a DFT calculation (GGA-PBEsol) of a relaxed Ca2CuCl crystal.

Cell and atoms, written as POSCAR:
```
Ca2CuCl
1.0
4.0212 0.0000 0.0000
0.0000 4.0212 0.0000
-2.0106 -2.0106 6.2134
Cu Ca Cl
1 2 1
direct
0.7500 0.2500 0.5000
0.0000 0.0000 0.0000
0.2500 0.7500 0.5000
0.5000 0.5000 0.0000
```

Summary:
Formation energy without anion corrections (eV per formula unit): -2.21
Raw total energy (eV per cell): -12.82
Energy above the most stable polymorph in this dataset (eV/atom): 0.243
Symmetry: I-4m2

Copy entry 3 word for word.
The following is a DFT calculation (GGA-PBEsol) of a relaxed Na3HgW crystal.

Cell and atoms, written as POSCAR:
```
Na3HgW
1.0
-2.9235 -4.0242 -3.2090
5.1460 -2.3598 -1.7288
-0.1040 -3.6436 4.6639
W Hg Na
1 1 3
direct
0.0000 0.0000 0.0000
0.5000 0.5000 0.5000
0.0000 0.5000 0.0000
0.0000 0.0000 0.5000
0.5000 0.0000 0.0000
```

Summary:
Raw total energy (eV per cell): -10.82
DFT formation energy (kJ per mole of atoms): 149.57
Symmetry: Pm-3m

- Which value of raw total energy does entry 3 give?
  -10.82 eV per cell

- Among the records above, which one has the lowest raw total energy?
  LiTeO2F

- Which of these has the highest raw total energy?
  Na3HgW